First-principles (GGA-PBE) data for an optimized crystal structure of NaAgBi2Se4, as listed in Alexandria via LeMat-Bulk.

Unit cell a=6.129 b=6.129 c=7.245 alpha=115.82 beta=115.82 gamma=88.30
Fractional coordinates of all 8 atoms:
Na 0.948 0.948 0.000
Bi 0.174 0.674 0.500
Bi 0.674 0.174 0.500
Ag 0.382 0.382 0.000
Se 0.946 0.453 0.000
Se 0.227 0.227 0.533
Se 0.694 0.694 0.467
Se 0.453 0.946 0.000

Theoretical density: 6.6 Mg/m³
Energy relative to the elements, uncorrected: -0.41 eV per atom
SG: Fmm2



First-principles (GGA-PBE) data for an optimized crystal structure of CsPd3Pb, as listed in Alexandria via LeMat-Bulk.

Unit cell a=5.288 b=5.288 c=5.288 alpha=90.00 beta=90.00 gamma=90.00
Fractional coordinates of all 5 atoms:
Pb 0.500 0.500 0.500
Pd 0.000 0.500 0.000
Pd 0.000 0.000 0.500
Pd 0.500 0.000 0.000
Cs 0.000 0.000 0.000

Theoretical density: 7.4 Mg/m³
E_form: 1.155 eV per atom
SG: Pm-3m



First-principles (GGA-PBE) data for an optimized crystal structure of Y2MgTa, as listed in Alexandria via LeMat-Bulk.

Unit cell a=5.999 b=5.999 c=5.623 alpha=72.56 beta=72.56 gamma=31.93
Fractional coordinates of all 4 atoms:
Y 0.975 0.975 0.069
Y 0.771 0.771 0.698
Ta 0.226 0.226 0.206
Mg 0.528 0.528 0.527

Theoretical density: 6.3 Mg/m³
E_form: 0.247 eV per atom
SG: Cm



First-principles (GGA-PBE) data for an optimized crystal structure of DyY2Ho3Se6, as listed in Alexandria via LeMat-Bulk.

Unit cell a=4.057 b=8.171 c=9.094 alpha=103.19 beta=102.89 gamma=90.00
Fractional coordinates of all 12 atoms:
Y 0.833 0.667 0.667
Y 0.167 0.333 0.333
Ho 0.833 0.167 0.666
Ho 0.500 0.500 0.000
Ho 0.167 0.833 0.334
Se 0.333 0.919 0.666
Se 0.667 0.081 0.334
Se 0.666 0.585 0.332
Se 0.001 0.749 0.002
Se 0.334 0.415 0.668
Se 0.999 0.251 0.998
Dy 0.500 0.000 0.000

Theoretical density: 7.6 Mg/m³
Energy relative to the elements, uncorrected: -1.74 eV per atom
SG: C2/m